[1]
This record from the Open Quantum Materials Database describes crystalline PaBe2Pt2 at its relaxed geometry. The functional is PBE.

The structure belongs to space group Fmmm (No. 69); the cell edges are 5.023, 6.678 and 9.472 Å and the angles 90.00°, 90.00° and 90.00°. Symmetry generates all atoms from Pa at (0.000, 0.000, 0.000), Be at (0.250, 0.250, 0.250) and Pt at (0.000, 0.000, 0.355).

The final energy comes out at -6.57 eV per atom.

[2]
This record from the Open Quantum Materials Database describes crystalline GdHo2Al3AgPd2 at its relaxed geometry. The functional is PBE.

The structure belongs to space group Amm2 (No. 38); the cell edges are 3.884, 12.804 and 7.376 Å and the angles 90.00°, 90.00° and 90.00°. Symmetry generates all atoms from Gd at (0.000, 0.000, 0.000), Ho at (0.000, 0.208, 0.623), Al at (0.500, 0.000, 0.669), Al at (0.500, 0.128, 0.290), Ag at (0.000, 0.000, 0.418) and Pd at (0.500, 0.168, 0.915).

The final energy comes out at -4.95 eV per atom.